--- w ---
The following is a GGA-PBE calculation of an optimized crystal structure of InGa2P2, from the Alexandria database.

Unit cell a=7.227 b=7.227 c=7.227 alpha=146.90 beta=146.90 gamma=47.51
Element x y z (fractional)
1 In 0.000 0.000 0.000
2 Ga 0.250 0.750 0.500
3 Ga 0.750 0.250 0.500
4 P 0.358 0.358 0.000
5 P 0.642 0.642 0.000

Properties
Fermi-level density of states ... 1.17 states/eV/cell
Spin magnetization ... 0.00 μB/cell


--- x ---
The following is a GGA-PBE calculation of an optimized crystal structure of InGa2P2, from the Alexandria database.

Unit cell a=5.675 b=5.675 c=5.675 alpha=131.53 beta=131.53 gamma=70.97
Element x y z (fractional)
1 In 0.000 0.000 0.000
2 Ga 0.362 0.362 0.000
3 Ga 0.638 0.638 0.000
4 P 0.250 0.750 0.500
5 P 0.750 0.250 0.500

Properties
Fermi-level density of states ... 2.15 states/eV/cell
Spin magnetization ... 0.00 μB/cell


Stability verdict: w, ahead by 57 meV/atom


--- w ---
The following is a GGA-PBE calculation of an optimized crystal structure of InGa2P, from the Alexandria database.

Unit cell a=6.872 b=6.872 c=6.872 alpha=126.52 beta=126.52 gamma=79.04
Element x y z (fractional)
1 In 0.000 0.000 0.000
2 In 0.750 0.250 0.500
3 Ga 0.171 0.625 0.046
4 Ga 0.375 0.421 0.546
5 Ga 0.579 0.125 0.954
6 Ga 0.875 0.829 0.454
7 P 0.250 0.750 0.500
8 P 0.500 0.500 0.000

Properties
Fermi-level density of states ... 0.56 states/eV/cell
Spin magnetization ... 0.00 μB/cell


--- x ---
The following is a GGA-PBE calculation of an optimized crystal structure of InGa2P, from the Alexandria database.

Unit cell a=4.850 b=4.850 c=4.850 alpha=60.00 beta=60.00 gamma=60.00
Element x y z (fractional)
1 In 0.000 0.000 0.000
2 Ga 0.250 0.250 0.250
3 Ga 0.750 0.750 0.750
4 P 0.500 0.500 0.500

Properties
Fermi-level density of states ... 1.82 states/eV/cell
Spin magnetization ... 0.00 μB/cell


Stability verdict: w, ahead by 214 meV/atom


--- w ---
The following is a GGA-PBE calculation of an optimized crystal structure of PaIn2Ga, from the Alexandria database.

Unit cell a=5.892 b=5.892 c=5.892 alpha=136.92 beta=136.68 gamma=62.75
Element x y z (fractional)
1 Pa 0.000 0.000 0.000
2 In 0.251 0.751 0.500
3 In 0.749 0.249 0.500
4 Ga 0.500 0.500 0.000

Properties
Fermi-level density of states ... 5.29 states/eV/cell
Spin magnetization ... 0.59 μB/cell


--- x ---
The following is a GGA-PBE calculation of an optimized crystal structure of PaIn2Ga, from the Alexandria database.

Unit cell a=4.434 b=4.434 c=4.754 alpha=90.00 beta=90.00 gamma=90.00
Element x y z (fractional)
1 Pa 0.000 0.000 0.000
2 In 0.000 0.500 0.500
3 In 0.500 0.000 0.500
4 Ga 0.500 0.500 0.000

Properties
Fermi-level density of states ... 5.57 states/eV/cell
Spin magnetization ... 0.53 μB/cell


--- y ---
The following is a GGA-PBE calculation of an optimized crystal structure of PaIn2Ga, from the Alexandria database.

Unit cell a=3.685 b=3.685 c=6.997 alpha=90.00 beta=90.00 gamma=90.00
Element x y z (fractional)
1 Pa 0.000 0.000 0.000
2 In 0.500 0.500 0.283
3 In 0.500 0.500 0.717
4 Ga 0.000 0.000 0.500

Properties
Fermi-level density of states ... 5.16 states/eV/cell
Spin magnetization ... 0.44 μB/cell


--- z ---
The following is a GGA-PBE calculation of an optimized crystal structure of PaIn2Ga, from the Alexandria database.

Unit cell a=5.720 b=5.720 c=5.720 alpha=49.14 beta=49.14 gamma=49.14
Element x y z (fractional)
1 Pa 0.000 0.000 0.000
2 In 0.228 0.228 0.228
3 In 0.772 0.772 0.772
4 Ga 0.500 0.500 0.500

Properties
Fermi-level density of states ... 5.84 states/eV/cell
Spin magnetization ... 0.87 μB/cell


Stability verdict: x, ahead by 102 meV/atom


--- w ---
The following is a GGA-PBE calculation of an optimized crystal structure of Pa2InGa, from the Alexandria database.

Unit cell a=5.185 b=5.185 c=5.185 alpha=60.00 beta=60.00 gamma=60.00
Element x y z (fractional)
1 Pa 0.250 0.250 0.250
2 Pa 0.750 0.750 0.750
3 In 0.000 0.000 0.000
4 Ga 0.500 0.500 0.500

Properties
Fermi-level density of states ... 9.52 states/eV/cell
Spin magnetization ... 2.70 μB/cell


--- x ---
The following is a GGA-PBE calculation of an optimized crystal structure of Pa2InGa, from the Alexandria database.

Unit cell a=3.190 b=3.190 c=9.135 alpha=90.00 beta=90.00 gamma=90.00
Element x y z (fractional)
1 Pa 0.000 0.000 0.231
2 Pa 0.000 0.000 0.769
3 In 0.500 0.500 0.500
4 Ga 0.500 0.500 0.000

Properties
Fermi-level density of states ... 6.89 states/eV/cell
Spin magnetization ... 0.67 μB/cell


Stability verdict: x, ahead by 247 meV/atom


--- w ---
The following is a GGA-PBE calculation of an optimized crystal structure of InGaPb, from the Alexandria database.

Unit cell a=5.925 b=5.925 c=6.438 alpha=112.80 beta=112.80 gamma=50.39
Element x y z (fractional)
1 In 0.000 0.000 0.000
2 In 0.716 0.716 0.390
3 Ga 0.386 0.386 0.698
4 Ga 0.682 0.682 0.877
5 Pb 0.062 0.062 0.547
6 Pb 0.350 0.350 0.177

Properties
Fermi-level density of states ... 2.03 states/eV/cell
Spin magnetization ... 0.00 μB/cell


--- x ---
The following is a GGA-PBE calculation of an optimized crystal structure of InGaPb, from the Alexandria database.

Unit cell a=4.943 b=4.943 c=4.943 alpha=60.00 beta=60.00 gamma=60.00
Element x y z (fractional)
1 In 0.000 0.000 0.000
2 Ga 0.250 0.250 0.250
3 Pb 0.500 0.500 0.500

Properties
Fermi-level density of states ... 1.43 states/eV/cell
Spin magnetization ... 0.00 μB/cell


--- y ---
The following is a GGA-PBE calculation of an optimized crystal structure of InGaPb, from the Alexandria database.

Unit cell a=4.425 b=6.003 c=6.751 alpha=79.13 beta=71.31 gamma=69.02
Element x y z (fractional)
1 In 0.165 0.238 0.441
2 In 0.835 0.762 0.559
3 Ga 0.143 0.887 0.826
4 Ga 0.857 0.113 0.174
5 Pb 0.414 0.321 0.855
6 Pb 0.586 0.679 0.145

Properties
Fermi-level density of states ... 1.99 states/eV/cell
Spin magnetization ... 0.00 μB/cell


--- z ---
The following is a GGA-PBE calculation of an optimized crystal structure of InGaPb, from the Alexandria database.

Unit cell a=4.121 b=4.528 c=9.263 alpha=99.21 beta=97.43 gamma=104.44
Element x y z (fractional)
1 In 0.000 0.000 0.000
2 In 0.127 0.337 0.401
3 Ga 0.420 0.881 0.261
4 Ga 0.704 0.462 0.150
5 Pb 0.517 0.347 0.800
6 Pb 0.807 0.846 0.589

Properties
Fermi-level density of states ... 2.72 states/eV/cell
Spin magnetization ... 0.00 μB/cell


Stability verdict: y, ahead by 24 meV/atom


--- w ---
The following is a GGA-PBE calculation of an optimized crystal structure of InGaPb, from the Alexandria database.

Unit cell a=6.834 b=6.834 c=6.834 alpha=150.20 beta=150.20 gamma=42.65
Element x y z (fractional)
1 In 0.000 0.000 0.000
2 Ga 0.355 0.355 0.000
3 Pb 0.690 0.690 0.000

Properties
Fermi-level density of states ... 1.39 states/eV/cell
Spin magnetization ... 0.00 μB/cell


--- x ---
The following is a GGA-PBE calculation of an optimized crystal structure of InGaPb, from the Alexandria database.

Unit cell a=5.143 b=5.143 c=3.462 alpha=90.00 beta=90.00 gamma=120.00
Element x y z (fractional)
1 In 0.000 0.000 0.000
2 Ga 0.667 0.333 0.865
3 Pb 0.333 0.667 0.459

Properties
Fermi-level density of states ... 0.87 states/eV/cell
Spin magnetization ... 0.00 μB/cell


--- y ---
The following is a GGA-PBE calculation of an optimized crystal structure of InGaPb, from the Alexandria database.

Unit cell a=3.601 b=3.793 c=11.478 alpha=87.76 beta=86.85 gamma=88.46
Element x y z (fractional)
1 In 0.215 0.229 0.290
2 In 0.785 0.771 0.710
3 Ga 0.267 0.258 0.558
4 Ga 0.733 0.742 0.442
5 Pb 0.275 0.265 0.896
6 Pb 0.725 0.735 0.104

Properties
Fermi-level density of states ... 1.79 states/eV/cell
Spin magnetization ... 0.00 μB/cell


--- z ---
The following is a GGA-PBE calculation of an optimized crystal structure of InGaPb, from the Alexandria database.

Unit cell a=4.965 b=3.554 c=9.365 alpha=90.00 beta=104.22 gamma=90.00
Element x y z (fractional)
1 In 0.000 0.000 0.000
2 In 0.302 0.000 0.388
3 Ga 0.435 0.500 0.923
4 Ga 0.510 0.000 0.713
5 Pb 0.726 0.500 0.245
6 Pb 0.953 0.500 0.621

Properties
Fermi-level density of states ... 3.11 states/eV/cell
Spin magnetization ... 0.00 μB/cell


Stability verdict: y, ahead by 14 meV/atom


--- w ---
The following is a GGA-PBE calculation of an optimized crystal structure of InGaPb, from the Alexandria database.

Unit cell a=5.621 b=5.719 c=6.256 alpha=102.34 beta=102.30 gamma=119.41
Element x y z (fractional)
1 In 0.000 0.000 0.000
2 In 0.388 0.733 0.080
3 Ga 0.415 0.839 0.575
4 Ga 0.711 0.361 0.934
5 Pb 0.099 0.194 0.561
6 Pb 0.709 0.472 0.432

Properties
Fermi-level density of states ... 1.86 states/eV/cell
Spin magnetization ... 0.00 μB/cell


--- x ---
The following is a GGA-PBE calculation of an optimized crystal structure of InGaPb, from the Alexandria database.

Unit cell a=5.908 b=5.908 c=6.612 alpha=115.40 beta=115.40 gamma=50.48
Element x y z (fractional)
1 In 0.032 0.032 0.279
2 In 0.968 0.968 0.721
3 Ga 0.351 0.351 0.423
4 Ga 0.649 0.649 0.577
5 Pb 0.320 0.320 0.899
6 Pb 0.680 0.680 0.101

Properties
Fermi-level density of states ... 2.10 states/eV/cell
Spin magnetization ... 0.00 μB/cell


Stability verdict: x, ahead by 12 meV/atom


--- w ---
The following is a GGA-PBE calculation of an optimized crystal structure of In2GaPb, from the Alexandria database.

Unit cell a=10.023 b=10.023 c=10.023 alpha=20.43 beta=20.43 gamma=20.43
Element x y z (fractional)
1 In 0.240 0.240 0.240
2 In 0.760 0.760 0.760
3 Ga 0.500 0.500 0.500
4 Pb 0.000 0.000 0.000

Properties
Fermi-level density of states ... 1.53 states/eV/cell
Spin magnetization ... 0.00 μB/cell


--- x ---
The following is a GGA-PBE calculation of an optimized crystal structure of In2GaPb, from the Alexandria database.

Unit cell a=3.271 b=3.330 c=9.725 alpha=90.16 beta=90.14 gamma=92.00
Element x y z (fractional)
1 In 0.000 0.000 0.000
2 In 0.000 0.003 0.446
3 Ga 0.500 0.501 0.223
4 Pb 0.502 0.501 0.723

Properties
Fermi-level density of states ... 1.17 states/eV/cell
Spin magnetization ... 0.00 μB/cell


Stability verdict: x, ahead by 10 meV/atom


--- w ---
The following is a GGA-PBE calculation of an optimized crystal structure of In2GaPb, from the Alexandria database.

Unit cell a=11.497 b=11.497 c=11.497 alpha=157.64 beta=157.64 gamma=31.82
Element x y z (fractional)
1 In 0.112 0.625 0.987
2 In 0.375 0.362 0.487
3 In 0.638 0.125 0.013
4 In 0.875 0.888 0.513
5 Ga 0.000 0.000 0.000
6 Ga 0.750 0.250 0.500
7 Pb 0.250 0.750 0.500
8 Pb 0.500 0.500 0.000

Properties
Fermi-level density of states ... 3.77 states/eV/cell
Spin magnetization ... 0.00 μB/cell


--- x ---
The following is a GGA-PBE calculation of an optimized crystal structure of In2GaPb, from the Alexandria database.

Unit cell a=4.793 b=4.793 c=4.650 alpha=90.00 beta=90.00 gamma=90.00
Element x y z (fractional)
1 In 0.000 0.500 0.000
2 In 0.500 0.000 0.000
3 Ga 0.000 0.000 0.500
4 Pb 0.500 0.500 0.500

Properties
Fermi-level density of states ... 2.58 states/eV/cell
Spin magnetization ... 0.00 μB/cell


--- y ---
The following is a GGA-PBE calculation of an optimized crystal structure of In2GaPb, from the Alexandria database.

Unit cell a=6.754 b=6.754 c=6.754 alpha=39.68 beta=39.68 gamma=39.68
Element x y z (fractional)
1 In 0.000 0.000 0.000
2 In 0.199 0.199 0.199
3 Ga 0.597 0.597 0.597
4 Pb 0.766 0.766 0.766

Properties
Fermi-level density of states ... 1.65 states/eV/cell
Spin magnetization ... 0.00 μB/cell


Stability verdict: x, ahead by 22 meV/atom


--- w ---
The following is a GGA-PBE calculation of an optimized crystal structure of In3GaPb, from the Alexandria database.

Unit cell a=5.361 b=5.361 c=5.361 alpha=90.00 beta=90.00 gamma=90.00
Element x y z (fractional)
1 In 0.000 0.000 0.500
2 In 0.000 0.500 0.000
3 In 0.500 0.000 0.000
4 Ga 0.000 0.000 0.000
5 Pb 0.500 0.500 0.500

Properties
Fermi-level density of states ... 2.52 states/eV/cell
Spin magnetization ... 0.00 μB/cell


--- x ---
The following is a GGA-PBE calculation of an optimized crystal structure of In3GaPb, from the Alexandria database.

Unit cell a=8.098 b=8.098 c=6.816 alpha=93.75 beta=93.75 gamma=36.84
Element x y z (fractional)
1 In 0.007 0.007 0.249
2 In 0.199 0.199 0.717
3 In 0.396 0.396 0.515
4 In 0.604 0.604 0.485
5 In 0.801 0.801 0.283
6 In 0.993 0.993 0.751
7 Ga 0.201 0.201 0.254
8 Ga 0.799 0.799 0.746
9 Pb 0.386 0.386 0.009
10 Pb 0.614 0.614 0.991

Properties
Fermi-level density of states ... 3.37 states/eV/cell
Spin magnetization ... 0.00 μB/cell


Stability verdict: x, ahead by 219 meV/atom